Record 1
Compound: CsY2HfZn
Source: the Alexandria database
Functional: PBE-GGA
Structure: optimized geometry

Lattice parameters (Å, degrees): 5.599 5.599 5.317 90.00 90.00 90.00
Space group P4/mmm (No. 123)
One atom of each set of equivalent atoms:
Cs (0.000, 0.000, 0.000) (multiplicity 1)
Y (0.000, 0.500, 0.000) (multiplicity 2)
Hf (0.000, 0.000, 0.500) (multiplicity 1)
Zn (0.500, 0.500, 0.500) (multiplicity 1)

Computed properties:
Its density of states at the Fermi level is 5.19 states/eV/f.u. The value obtained for the energy is -16.47 eV/cell. The total moment is 0.00 μB/cell.

***

Record 2
Compound: CsHfZn3
Source: the Alexandria database
Functional: PBE-GGA
Structure: optimized geometry

Lattice parameters (Å, degrees): 5.521 5.521 5.521 90.00 90.00 90.00
Space group Pm-3m (No. 221)
One atom of each set of equivalent atoms:
Cs (0.000, 0.000, 0.000) (multiplicity 1)
Hf (0.500, 0.500, 0.500) (multiplicity 1)
Zn (0.000, 0.500, 0.500) (multiplicity 3)

Computed properties:
Its density of states at the Fermi level is 7.47 states/eV/f.u. The value obtained for the energy is -11.69 eV/cell. The total moment is 1.48 μB/cell.

***

Record 3
Compound: Cs2HfZn
Source: the Alexandria database
Functional: PBE-GGA
Structure: optimized geometry

Lattice parameters (Å, degrees): 13.967 13.967 5.258 90.00 90.00 90.00
Space group I-42d (No. 122)
One atom of each set of equivalent atoms:
Cs (0.081, 0.750, 0.125) (multiplicity 8)
Hf (0.000, 0.000, 0.500) (multiplicity 4)
Zn (0.000, 0.000, 0.000) (multiplicity 4)

Computed properties:
Its density of states at the Fermi level is 5.64 states/eV/f.u. The relative energy among the computed polymorphs is 0 meV/atom. The value obtained for the energy is -35.71 eV/cell. The total moment is 3.51 μB/cell.

***

Record 4
Compound: Cs2HfZn
Source: the Alexandria database
Functional: PBE-GGA
Structure: optimized geometry

Lattice parameters (Å, degrees): 9.110 9.110 9.110 90.00 90.00 90.00
Space group Fm-3m (No. 225)
One atom of each set of equivalent atoms:
Cs (0.250, 0.250, 0.250) (multiplicity 8)
Hf (0.000, 0.000, 0.000) (multiplicity 4)
Zn (0.000, 0.000, 0.500) (multiplicity 4)

Computed properties:
Its density of states at the Fermi level is 10.35 states/eV/f.u. The relative energy among the computed polymorphs is 278 meV/atom. The value obtained for the energy is -31.27 eV/cell. The total moment is 14.23 μB/cell.

***

Record 5
Compound: CsHf3Zn
Source: the Alexandria database
Functional: PBE-GGA
Structure: optimized geometry

Lattice parameters (Å, degrees): 5.173 5.173 5.173 90.00 90.00 90.00
Space group Pm-3m (No. 221)
One atom of each set of equivalent atoms:
Cs (0.000, 0.000, 0.000) (multiplicity 1)
Hf (0.000, 0.500, 0.500) (multiplicity 3)
Zn (0.500, 0.500, 0.500) (multiplicity 1)

Computed properties:
Its density of states at the Fermi level is 4.26 states/eV/f.u. The relative energy among the computed polymorphs is 0 meV/atom. The value obtained for the energy is -26.10 eV/cell. The total moment is 0.00 μB/cell.

***

Record 6
Compound: CsHf3Zn
Source: the Alexandria database
Functional: PBE-GGA
Structure: optimized geometry

Lattice parameters (Å, degrees): 5.235 5.235 5.235 90.00 90.00 90.00
Space group Pm-3m (No. 221)
One atom of each set of equivalent atoms:
Cs (0.000, 0.000, 0.000) (multiplicity 1)
Hf (0.000, 0.000, 0.500) (multiplicity 3)
Zn (0.500, 0.500, 0.500) (multiplicity 1)

Computed properties:
Its density of states at the Fermi level is 8.38 states/eV/f.u. The relative energy among the computed polymorphs is 1199 meV/atom. The value obtained for the energy is -20.11 eV/cell. The total moment is 0.00 μB/cell.